[1]
Computed, not measured: an optimized crystal structure of CaPm4Ir2 at the PBE-GGA level of DFT.

POSCAR file:
```
CaPm4Ir2
1.0
7.5820 0.7104 0.5841
0.1526 7.6019 -0.5729
-3.3571 -4.6339 7.9142
Ca Pm Ir
2 8 4
Cartesian
-0.8338 2.5044 3.7683
0.9830 1.2639 0.1003
5.8596 0.2396 2.6246
2.2376 3.8418 2.1467
4.1874 1.8194 6.2974
4.4748 -1.5744 5.3143
1.8513 0.1996 3.4153
0.5314 -2.2909 6.2963
0.2195 1.6761 7.0992
5.6050 3.8596 1.0606
2.2493 -0.1202 6.2309
3.9873 5.9501 1.9941
3.6205 1.5215 1.1867
-0.9473 -0.1490 4.8483
```

- energy of formation (kcal/mol of atoms) = -7.53
- relative energy among the computed polymorphs (meV per atom) = 88

[2]
Computed, not measured: an optimized crystal structure of RbTi2GaP at the PBE-GGA level of DFT.

POSCAR file:
```
RbTi2GaP
1.0
-4.8302 -0.1237 1.5883
-0.6610 -4.3993 -2.3528
1.4463 -2.4668 4.2061
P Ga Rb Ti
1 1 1 2
Cartesian
-0.3305 -2.1997 -1.1764
0.0000 0.0000 0.0000
-2.0224 -3.4949 1.7208
0.7232 -1.2334 2.1031
-2.4151 -0.0619 0.7942
```

- energy of formation (kcal/mol of atoms) = 19.21

[3]
Computed, not measured: an optimized crystal structure of Sc2CoSbC at the PBE-GGA level of DFT.

POSCAR file:
```
Sc2CoSbC
1.0
4.6156 0.0000 0.0000
0.0000 4.6156 0.0000
0.0000 0.0000 3.8521
Sc Sb C Co
2 1 1 1
Cartesian
0.0000 2.3078 0.0000
2.3078 0.0000 0.0000
2.3078 2.3078 1.9260
0.0000 0.0000 0.0000
0.0000 0.0000 1.9260
```

- ΔE_f (raw) (meV/atom) = -504.9

[4]
Computed, not measured: an optimized crystal structure of KMnNi at the PBE-GGA level of DFT.

POSCAR file:
```
KMnNi
1.0
3.3914 0.0000 0.0000
-1.6957 2.9370 0.0000
0.0000 0.0000 7.0029
K Mn Ni
1 1 1
Cartesian
0.0000 0.0000 6.8152
0.0000 1.9580 2.9340
1.6957 0.9790 4.2565
```

- energy of formation (kcal/mol of atoms) = 18.81
- relative energy among the computed polymorphs (meV per atom) = 454

[5]
Computed, not measured: an optimized crystal structure of Cs2LaIrF6 at the PBE-GGA level of DFT.

POSCAR file:
```
Cs2LaIrF6
1.0
7.1109 0.0000 0.0000
0.0000 7.1109 0.0000
3.5554 3.5554 4.4529
Cs F Ir La
2 6 1 1
Cartesian
7.1109 3.5554 2.2265
3.5554 7.1109 2.2265
3.5554 3.5554 2.3538
7.1109 7.1109 2.0991
1.9315 1.9315 0.0000
5.1794 5.1794 0.0000
5.1794 1.9315 0.0000
1.9315 5.1794 0.0000
0.0000 0.0000 0.0000
3.5554 3.5554 0.0000
```

- ΔE_f (raw) (meV/atom) = -2486.6

[6]
Computed, not measured: an optimized crystal structure of RhSe at the PBE-GGA level of DFT.

POSCAR file:
```
RhSe
1.0
3.4833 0.0000 0.0000
-1.7416 3.0166 0.0000
0.0000 0.0000 7.6915
Rh Se
2 2
Cartesian
0.0000 2.0111 5.4446
1.7417 1.0055 1.5988
0.0000 2.0111 2.8776
1.7417 1.0055 6.7234
```

- ΔE_f (raw) (meV/atom) = -132.5